{"formula": "EuUN2", "functional": "GGA-PBE", "state": "relaxed", "de_polymorph_ev_per_atom": 0.000, "energy_ha_per_atom": -0.3976, "lattice": [[3.515, 0.000, 0.000], [1.758, 3.044, 0.000], [1.758, 1.015, 5.826]], "species": ["N", "N", "U", "Eu"], "fractional_positions": [[0.734, 0.734, 0.799], [0.266, 0.266, 0.201], [0.000, 0.000, 0.000], [0.500, 0.500, 0.500]]}